First-principles (PBE-GGA) data for crystalline SrDy2Hg9 at its relaxed geometry, as listed in the Alexandria database.

Lattice parameters (Å, degrees): 4.7398 4.7398 13.7662 90.00 90.00 90.00
Positions (direct):
Sr1 0.0000 0.0000 0.0000
Dy1 0.0000 0.0000 0.3412
Dy2 0.0000 0.0000 0.6588
Hg1 0.0000 0.5000 0.1808
Hg2 0.0000 0.5000 0.5000
Hg3 0.0000 0.5000 0.8192
Hg4 0.5000 0.0000 0.1808
Hg5 0.5000 0.0000 0.5000
Hg6 0.5000 0.0000 0.8192
Hg7 0.5000 0.5000 0.0000
Hg8 0.5000 0.5000 0.3441
Hg9 0.5000 0.5000 0.6559

Space group: P4/mmm
Energy (eV/cell): -17.6
V (Å³ per cell): 309